1.
Entry from the Alexandria database: crystalline Ho2CuTe2S2O14 at its relaxed geometry (PBE). Values from VASP.

```
&SYSTEM
  ibrav = 0, nat = 21, ntyp = 5
/
ATOMIC_SPECIES
Ho 164.93 Ho.upf
Cu 63.55 Cu.upf
Te 127.60 Te.upf
S 32.06 S.upf
O 16.00 O.upf
CELL_PARAMETERS angstrom
5.2039 0.0000 0.0000
0.6488 7.8979 0.0000
2.1836 3.7165 6.9754
ATOMIC_POSITIONS crystal
Ho 0.0646 0.2511 0.0202
Ho 0.9354 0.7489 0.9798
Cu 0.0000 0.0000 0.5000
Te 0.4926 0.7288 0.6532
Te 0.5074 0.2712 0.3468
S 0.2633 0.7445 0.2491
S 0.7367 0.2555 0.7509
O 0.1554 0.5828 0.2370
O 0.1563 0.7365 0.4374
O 0.1732 0.9197 0.0954
O 0.2489 0.5600 0.8885
O 0.2542 0.9311 0.6572
O 0.2677 0.1862 0.2550
O 0.4411 0.2586 0.7929
O 0.5589 0.7414 0.2071
O 0.7323 0.8138 0.7450
O 0.7458 0.0689 0.3428
O 0.7511 0.4400 0.1115
O 0.8268 0.0803 0.9046
O 0.8437 0.2635 0.5626
O 0.8446 0.4172 0.7630
```

The value obtained for the uncorrected formation energy is -38.14 eV per formula unit. For the total magnetization, the calculation gives 0.97 Bohr magnetons per cell. For the total energy, the calculation gives -6.4450 eV/atom.

2.
Entry from the Alexandria database: crystalline HoCu2SeO2 at its relaxed geometry (PBE). Values from VASP.

```
&SYSTEM
  ibrav = 0, nat = 6, ntyp = 4
/
ATOMIC_SPECIES
Ho 164.93 Ho.upf
Cu 63.55 Cu.upf
Se 78.96 Se.upf
O 16.00 O.upf
CELL_PARAMETERS angstrom
3.6203 0.0000 0.0000
0.0000 3.6203 0.0000
0.0000 0.0000 11.9425
ATOMIC_POSITIONS crystal
Ho 0.0000 0.0000 0.0000
Cu 0.0000 0.0000 0.3174
Cu 0.0000 0.0000 0.6826
Se 0.0000 0.0000 0.5000
O 0.0000 0.0000 0.1701
O 0.0000 0.0000 0.8299
```

The value obtained for the uncorrected formation energy is -2.65 eV per formula unit. For the total magnetization, the calculation gives 0.00 Bohr magnetons per cell. For the total energy, the calculation gives -4.8028 eV/atom.

> uncorrected formation energy of number 1 (Ho2CuTe2S2O14)?

-38.14 eV per formula unit

Please write out number 1 again, unchanged.
Entry from the Alexandria database: crystalline Ho2CuTe2S2O14 at its relaxed geometry (PBE). Values from VASP.

```
&SYSTEM
  ibrav = 0, nat = 21, ntyp = 5
/
ATOMIC_SPECIES
Ho 164.93 Ho.upf
Cu 63.55 Cu.upf
Te 127.60 Te.upf
S 32.06 S.upf
O 16.00 O.upf
CELL_PARAMETERS angstrom
5.2039 0.0000 0.0000
0.6488 7.8979 0.0000
2.1836 3.7165 6.9754
ATOMIC_POSITIONS crystal
Ho 0.0646 0.2511 0.0202
Ho 0.9354 0.7489 0.9798
Cu 0.0000 0.0000 0.5000
Te 0.4926 0.7288 0.6532
Te 0.5074 0.2712 0.3468
S 0.2633 0.7445 0.2491
S 0.7367 0.2555 0.7509
O 0.1554 0.5828 0.2370
O 0.1563 0.7365 0.4374
O 0.1732 0.9197 0.0954
O 0.2489 0.5600 0.8885
O 0.2542 0.9311 0.6572
O 0.2677 0.1862 0.2550
O 0.4411 0.2586 0.7929
O 0.5589 0.7414 0.2071
O 0.7323 0.8138 0.7450
O 0.7458 0.0689 0.3428
O 0.7511 0.4400 0.1115
O 0.8268 0.0803 0.9046
O 0.8437 0.2635 0.5626
O 0.8446 0.4172 0.7630
```

The value obtained for the uncorrected formation energy is -38.14 eV per formula unit. For the total magnetization, the calculation gives 0.97 Bohr magnetons per cell. For the total energy, the calculation gives -6.4450 eV/atom.